Here is an optimized crystal structure of BaCdCu from Alexandria via LeMat-Bulk. Energies are from PBE-GGA.

Cell: 6.4309 6.4309 6.4309 Å, 146.07 146.07 48.74°
Closest atoms and distances in Å follow each position.
Element x y z (fractional)
Ba 0.0000 0.0000 0.0000  5 Cd 3.38-3.63, 5 Cu 3.52-3.55, 4 Ba 3.75
Cd 0.7114 0.7114 0.0000  4 Cu 2.86
Cu 0.3028 0.3028 0.0000  4 Cd 2.86

**SG**: No. 107
**Formation energy from the elements**: -0.014 eV per atom
**Total magnetic moment**: 0.00 Bohr magnetons per cell

Here is an optimized crystal structure of TcHSe2 from Alexandria via LeMat-Bulk. Energies are from PBE-GGA.

Cell: 3.1873 3.1873 7.8887 Å, 90.00 90.00 120.00°
Closest atoms and distances in Å follow each position.
Element x y z (fractional)
Tc 0.0000 0.0000 0.0000  4 Se 2.44-2.47
H 0.6667 0.3333 0.3583  3 Se 1.87
Se 0.0000 0.0000 0.3134  3 H 1.87
Se 0.3333 0.6667 0.7964  3 Tc 2.44

**SG**: No. 156
**Total magnetic moment**: 0.00 Bohr magnetons per cell
**Energy above the lowest structure with this stoichiometry**: 286 meV per atom

Here is an optimized crystal structure of CeNdTh2 from Alexandria via LeMat-Bulk. Energies are from PBE-GGA.

Cell: 5.6431 5.6431 5.6431 Å, 60.00 60.00 60.00°
Closest atoms and distances in Å follow each position.
Element x y z (fractional)
Ce 0.0000 0.0000 0.0000  8 Th 3.46
Nd 0.5000 0.5000 0.5000  8 Th 3.46
Th 0.2500 0.2500 0.2500  4 Ce 3.46, 4 Nd 3.46
Th 0.7500 0.7500 0.7500  4 Ce 3.46, 4 Nd 3.46

**SG**: No. 225
**Formation energy from the elements**: 0.216 eV per atom
**Total magnetic moment**: 0.02 Bohr magnetons per cell
**Energy above the lowest structure with this stoichiometry**: 167 meV per atom

Here is an optimized crystal structure of CsNa3Be from Alexandria via LeMat-Bulk. Energies are from PBE-GGA.

Cell: 5.8604 5.8604 5.8604 Å, 90.00 90.00 90.00°
Closest atoms and distances in Å follow each position.
Element x y z (fractional)
Cs 0.0000 0.0000 0.0000  12 Na 4.14
Na 0.0000 0.5000 0.5000  2 Be 2.93
Na 0.5000 0.0000 0.5000  2 Be 2.93
Na 0.5000 0.5000 0.0000  2 Be 2.93
Be 0.5000 0.5000 0.5000  6 Na 2.93

**SG**: No. 221
**Formation energy from the elements**: 0.422 eV per atom
**Total magnetic moment**: 0.00 Bohr magnetons per cell
**Energy above the lowest structure with this stoichiometry**: 0 meV per atom

Here is an optimized crystal structure of NaThS3 from Alexandria via LeMat-Bulk. Energies are from PBE-GGA.

Cell: 5.3946 4.2899 10.4176 Å, 90.00 90.00 90.00°
Closest atoms and distances in Å follow each position.
Element x y z (fractional)
Na 0.2500 0.0000 0.1092  5 S 2.76-2.87
Na 0.7500 0.0000 0.8908  5 S 2.76-2.87
Th 0.2500 0.5000 0.6627  8 S 2.77-3.05
Th 0.7500 0.5000 0.3373  8 S 2.77-3.05
S 0.0000 0.0000 0.5000  2 S 2.70
S 0.2500 0.0000 0.8339  3 Na 2.76-2.87, 2 Th 2.79
S 0.2500 0.5000 0.2757  2 Na 2.76, 2 Th 2.77
S 0.5000 0.0000 0.5000  2 S 2.70
S 0.7500 0.0000 0.1661  3 Na 2.76-2.87, 2 Th 2.79
S 0.7500 0.5000 0.7243  2 Na 2.76, 2 Th 2.77

**Formation energy from raw total energies**: -1.41 eV/atom
**SG**: No. 51
**Total magnetic moment**: 0.00 Bohr magnetons per cell

Here is an optimized crystal structure of PmCdGePd from Alexandria via LeMat-Bulk. Energies are from PBE-GGA.

Cell: 4.9178 4.9178 4.9178 Å, 60.00 60.00 60.00°
Closest atoms and distances in Å follow each position.
Element x y z (fractional)
Pm 0.0000 0.0000 0.0000  4 Ge 3.01, 4 Pd 3.01
Cd 0.5000 0.5000 0.5000  4 Pd 3.01, 4 Ge 3.01
Ge 0.7500 0.7500 0.7500  4 Cd 3.01, 4 Pm 3.01
Pd 0.2500 0.2500 0.2500  4 Cd 3.01, 4 Pm 3.01

**SG**: No. 216
**Formation energy from the elements**: -0.518 eV per atom
**Total magnetic moment**: 0.00 Bohr magnetons per cell

Here is an optimized crystal structure of DyPuS2 from Alexandria via LeMat-Bulk. Energies are from PBE-GGA.

Cell: 7.2483 7.2483 7.2483 Å, 30.58 30.58 30.58°
Closest atoms and distances in Å follow each position.
Element x y z (fractional)
Dy 0.0000 0.0000 0.0000  6 S 2.75-2.85
Pu 0.8240 0.8240 0.8240  6 S 2.74-2.87
S 0.2460 0.2460 0.2460  3 Dy 2.85, 3 Pu 2.87
S 0.4125 0.4125 0.4125  3 Pu 2.74, 3 Dy 2.75

**Formation energy from raw total energies**: -1.80 eV/atom
**SG**: No. 160
**Total magnetic moment**: 5.38 Bohr magnetons per cell
**Energy above the lowest structure with this stoichiometry**: 114 meV per atom

Here is an optimized crystal structure of CdSnAs2 from Alexandria via LeMat-Bulk. Energies are from PBE-GGA.

Cell: 4.7954 4.7954 38.3982 Å, 92.01 92.01 51.15°
Closest atoms and distances in Å follow each position.
Element x y z (fractional)
Cd 0.0000 0.0000 0.0000  5 As 2.71-3.03
Cd 0.1457 0.1457 0.8183  3 As 2.59-2.71
Cd 0.3924 0.3924 0.7396  4 As 2.70-2.80
Cd 0.4523 0.4523 0.8893  2 As 2.67-2.73
Cd 0.5200 0.5200 0.1313  4 As 2.72-2.91
Cd 0.7956 0.7956 0.0699  3 As 2.67-2.74
Sn 0.2237 0.2237 0.2152  4 As 2.64-2.85
Sn 0.2907 0.2907 0.4769  4 As 2.69-2.75
Sn 0.5979 0.5979 0.3914  4 As 2.69-2.75
Sn 0.6870 0.6870 0.6448  4 As 2.71-2.88
Sn 0.9076 0.9076 0.3064  4 As 2.69-2.75
Sn 0.9844 0.9844 0.5618  4 As 2.68-2.73
As 0.0871 0.0871 0.7515  4 Cd 2.59-2.70
As 0.1938 0.1938 0.9280  2 As 2.62, 1 Cd 2.73
As 0.2144 0.2144 0.1465  1 Sn 2.64, 3 Cd 2.72-2.73
As 0.2887 0.2887 0.4060  4 Sn 2.69-2.75
As 0.3720 0.3720 0.6665  3 Sn 2.73-2.88, 1 Cd 2.80
As 0.4912 0.4912 0.0556  6 Cd 2.67-2.98
As 0.5982 0.5982 0.3207  4 Sn 2.69-2.75
As 0.6760 0.6760 0.5742  4 Sn 2.68-2.73
As 0.7119 0.7119 0.9698  2 As 2.62, 1 Cd 2.71
As 0.7284 0.7284 0.8605  3 Cd 2.67-2.71
As 0.9105 0.9105 0.2357  4 Sn 2.71-2.85
As 0.9815 0.9815 0.4910  4 Sn 2.69-2.75

**SG**: No. 8
**Formation energy from the elements**: 0.041 eV per atom
**Total magnetic moment**: 0.00 Bohr magnetons per cell
**Energy above the lowest structure with this stoichiometry**: 179 meV per atom

Here is an optimized crystal structure of Sc2PtBr from Alexandria via LeMat-Bulk. Energies are from PBE-GGA.

Cell: 7.5102 7.5102 7.5102 Å, 29.55 29.55 29.55°
Closest atoms and distances in Å follow each position.
Element x y z (fractional)
Sc 0.2340 0.2340 0.2340  3 Pt 2.64
Sc 0.7660 0.7660 0.7660  3 Pt 2.64
Pt 0.5000 0.5000 0.5000  6 Sc 2.64
Br 0.0000 0.0000 0.0000  6 Sc 3.08

**Formation energy from raw total energies**: -1.10 eV/atom
**SG**: No. 166
**Total magnetic moment**: 0.00 Bohr magnetons per cell
**Energy above the lowest structure with this stoichiometry**: 0 meV per atom

Here is an optimized crystal structure of Pm11Al9Cu4 from Alexandria via LeMat-Bulk. Energies are from PBE-GGA.

Cell: 12.8860 12.8860 3.7124 Å, 90.00 90.00 112.52°
Closest atoms and distances in Å follow each position.
Element x y z (fractional)
Pm 0.0000 0.0000 0.0000  8 Al 3.20, 2 Pm 3.50
Pm 0.0607 0.4101 0.0000  2 Cu 2.89, 4 Al 3.18-3.24
Pm 0.1634 0.8366 0.0000  8 Al 3.25-3.49, 3 Pm 3.38-3.50
Pm 0.3072 0.3072 0.0000  4 Cu 2.92, 4 Al 3.26
Pm 0.3717 0.6283 0.0000  4 Cu 2.94, 4 Al 3.23
Pm 0.4101 0.0607 0.0000  2 Cu 2.89, 4 Al 3.18-3.24
Pm 0.5899 0.9393 0.0000  2 Cu 2.89, 4 Al 3.18-3.24
Pm 0.6283 0.3717 0.0000  4 Cu 2.94, 4 Al 3.23
Pm 0.6928 0.6928 0.0000  4 Cu 2.92, 4 Al 3.26
Pm 0.8366 0.1634 0.0000  8 Al 3.25-3.49, 3 Pm 3.38-3.50
Pm 0.9393 0.5899 0.0000  2 Cu 2.89, 4 Al 3.18-3.24
Al 0.0819 0.2188 0.5000  1 Cu 2.89, 1 Al 2.94, 4 Pm 3.18-3.20
Al 0.1681 0.6315 0.5000  1 Al 2.87, 1 Cu 2.88
Al 0.2188 0.0819 0.5000  1 Cu 2.89, 1 Al 2.94, 4 Pm 3.18-3.20
Al 0.3685 0.8319 0.5000  1 Al 2.87, 1 Cu 2.88
Al 0.5000 0.5000 0.5000  4 Cu 3.11, 8 Pm 3.32-3.33
Al 0.6315 0.1681 0.5000  1 Al 2.87, 1 Cu 2.88
Al 0.7812 0.9181 0.5000  1 Cu 2.89, 1 Al 2.94, 4 Pm 3.18-3.20
Al 0.8319 0.3685 0.5000  1 Al 2.87, 1 Cu 2.88
Al 0.9181 0.7812 0.5000  1 Cu 2.89, 1 Al 2.94, 4 Pm 3.18-3.20
Cu 0.2436 0.4480 0.5000  3 Al 2.88-3.11, 6 Pm 2.89-2.94
Cu 0.4480 0.2436 0.5000  3 Al 2.88-3.11, 6 Pm 2.89-2.94
Cu 0.5520 0.7564 0.5000  3 Al 2.88-3.11, 6 Pm 2.89-2.94
Cu 0.7564 0.5520 0.5000  3 Al 2.88-3.11, 6 Pm 2.89-2.94

**SG**: No. 65
**Formation energy from the elements**: -0.338 eV per atom
**Total magnetic moment**: 0.00 Bohr magnetons per cell

What is the total magnetic moment in the fifth record?
0.00 Bohr magnetons per cell